Version 1
Computed, not measured: an optimized crystal structure of CsBe3O at the PBE-GGA level of DFT.

Cell lengths 4.316, 4.316, 4.316 Å; angles 90.00, 90.00, 90.00 degrees
Space group Pm-3m (No. 221)
Symmetry-distinct sites (fractional):
Cs 0.000 0.000 0.000
Be 0.000 0.500 0.500
O 0.500 0.500 0.500

Version 2
Computed, not measured: an optimized crystal structure of CsBe3O at the PBE-GGA level of DFT.

Cell lengths 7.278, 7.278, 7.278 Å; angles 90.00, 90.00, 90.00 degrees
Space group Pm-3m (No. 221)
Symmetry-distinct sites (fractional):
Cs 0.000 0.000 0.000
Be 0.000 0.000 0.500
O 0.500 0.500 0.500

What should be chosen as the least stable of them? Choose version 2.

Version 1
Computed, not measured: an optimized crystal structure of CsBePO4 at the PBE-GGA level of DFT.

Cell lengths 4.433, 7.239, 8.217 Å; angles 90.00, 105.00, 90.00 degrees
Space group P2_1/m (No. 11)
Symmetry-distinct sites (fractional):
Cs 0.100 0.250 0.290
Be 0.129 0.250 0.760
P 0.374 0.750 0.243
O 0.071 0.750 0.095
O 0.211 0.750 0.391
O 0.394 0.087 0.755

Version 2
Computed, not measured: an optimized crystal structure of CsBePO4 at the PBE-GGA level of DFT.

Cell lengths 8.855, 5.191, 8.940 Å; angles 90.00, 90.00, 90.00 degrees
Space group Pnma (No. 62)
Symmetry-distinct sites (fractional):
Cs 0.009 0.250 0.194
Be 0.172 0.750 0.408
P 0.183 0.250 0.582
O 0.011 0.250 0.604
O 0.235 0.008 0.494
O 0.238 0.750 0.236

What should be chosen as the least stable of them? Choose version 1.

Version 1
Computed, not measured: an optimized crystal structure of CsRbBeO2 at the PBE-GGA level of DFT.

Cell lengths 4.809, 4.809, 5.694 Å; angles 90.00, 90.00, 90.00 degrees
Space group P4/mmm (No. 123)
Symmetry-distinct sites (fractional):
Cs 0.000 0.000 0.000
Rb 0.500 0.500 0.500
Be 0.000 0.000 0.500
O 0.000 0.500 0.000

Version 2
Computed, not measured: an optimized crystal structure of CsRbBeO2 at the PBE-GGA level of DFT.

Cell lengths 6.114, 5.808, 7.915 Å; angles 90.00, 90.67, 90.00 degrees
Space group P2/c (No. 13)
Symmetry-distinct sites (fractional):
Cs 0.000 0.009 0.250
Rb 0.500 0.498 0.750
Be 0.500 0.000 0.000
O 0.337 0.179 0.999

What should be chosen as the least stable of them? Choose version 1.

Version 1
Computed, not measured: an optimized crystal structure of CsBe3Os at the PBE-GGA level of DFT.

Cell lengths 4.628, 4.628, 4.628 Å; angles 90.00, 90.00, 90.00 degrees
Space group Pm-3m (No. 221)
Symmetry-distinct sites (fractional):
Cs 0.000 0.000 0.000
Be 0.000 0.000 0.500
Os 0.500 0.500 0.500

Version 2
Computed, not measured: an optimized crystal structure of CsBe3Os at the PBE-GGA level of DFT.

Cell lengths 4.594, 4.594, 4.594 Å; angles 90.00, 90.00, 90.00 degrees
Space group Pm-3m (No. 221)
Symmetry-distinct sites (fractional):
Cs 0.000 0.000 0.000
Be 0.000 0.500 0.500
Os 0.500 0.500 0.500

What should be chosen as the least stable of them? Choose version 1.

Version 1
Computed, not measured: an optimized crystal structure of CsBe2Os2 at the PBE-GGA level of DFT.

Cell lengths 4.325, 4.325, 9.368 Å; angles 90.00, 90.00, 90.00 degrees
Space group I4/mmm (No. 139)
Symmetry-distinct sites (fractional):
Cs 0.000 0.000 0.000
Be 0.000 0.500 0.250
Os 0.000 0.000 0.367

Version 2
Computed, not measured: an optimized crystal structure of CsBe2Os2 at the PBE-GGA level of DFT.

Cell lengths 7.753, 7.753, 2.872 Å; angles 90.00, 90.00, 90.00 degrees
Space group P4/mbm (No. 127)
Symmetry-distinct sites (fractional):
Cs 0.000 0.000 0.000
Be 0.139 0.361 0.500
Os 0.113 0.613 0.000

What should be chosen as the least stable of them? Choose version 1.

Version 1
Computed, not measured: an optimized crystal structure of CsBeOs3 at the PBE-GGA level of DFT.

Cell lengths 4.437, 4.437, 4.437 Å; angles 90.00, 90.00, 90.00 degrees
Space group Pm-3m (No. 221)
Symmetry-distinct sites (fractional):
Cs 0.000 0.000 0.000
Be 0.500 0.500 0.500
Os 0.000 0.500 0.500

Version 2
Computed, not measured: an optimized crystal structure of CsBeOs3 at the PBE-GGA level of DFT.

Cell lengths 4.939, 4.939, 4.939 Å; angles 90.00, 90.00, 90.00 degrees
Space group Pm-3m (No. 221)
Symmetry-distinct sites (fractional):
Cs 0.000 0.000 0.000
Be 0.500 0.500 0.500
Os 0.000 0.000 0.500

What should be chosen as the least stable of them? Choose version 2.

Version 1
Computed, not measured: an optimized crystal structure of CsBeP3 at the PBE-GGA level of DFT.

Cell lengths 4.681, 4.681, 4.681 Å; angles 90.00, 90.00, 90.00 degrees
Space group Pm-3m (No. 221)
Symmetry-distinct sites (fractional):
Cs 0.000 0.000 0.000
Be 0.500 0.500 0.500
P 0.000 0.500 0.500

Version 2
Computed, not measured: an optimized crystal structure of CsBeP3 at the PBE-GGA level of DFT.

Cell lengths 5.471, 5.471, 5.471 Å; angles 90.00, 90.00, 90.00 degrees
Space group Pm-3m (No. 221)
Symmetry-distinct sites (fractional):
Cs 0.000 0.000 0.000
Be 0.500 0.500 0.500
P 0.000 0.000 0.500

What should be chosen as the least stable of them? Choose version 2.

Version 1
Computed, not measured: an optimized crystal structure of CsBe3P at the PBE-GGA level of DFT.

Cell lengths 4.642, 4.642, 4.642 Å; angles 90.00, 90.00, 90.00 degrees
Space group Pm-3m (No. 221)
Symmetry-distinct sites (fractional):
Cs 0.000 0.000 0.000
Be 0.000 0.500 0.500
P 0.500 0.500 0.500

Version 2
Computed, not measured: an optimized crystal structure of CsBe3P at the PBE-GGA level of DFT.

Cell lengths 5.042, 5.042, 5.042 Å; angles 90.00, 90.00, 90.00 degrees
Space group Pm-3m (No. 221)
Symmetry-distinct sites (fractional):
Cs 0.000 0.000 0.000
Be 0.000 0.000 0.500
P 0.500 0.500 0.500

What should be chosen as the least stable of them? Choose version 2.

Version 1
Computed, not measured: an optimized crystal structure of CsBeP2S at the PBE-GGA level of DFT.

Cell lengths 4.587, 4.587, 4.980 Å; angles 90.00, 90.00, 90.00 degrees
Space group P4/mmm (No. 123)
Symmetry-distinct sites (fractional):
Cs 0.000 0.000 0.000
Be 0.500 0.500 0.500
P 0.000 0.500 0.500
S 0.500 0.500 0.000

Version 2
Computed, not measured: an optimized crystal structure of CsBeP2S at the PBE-GGA level of DFT.

Cell lengths 6.184, 6.184, 5.518 Å; angles 90.00, 90.00, 90.00 degrees
Space group P4/mmm (No. 123)
Symmetry-distinct sites (fractional):
Cs 0.000 0.000 0.000
Be 0.500 0.500 0.500
P 0.000 0.500 0.000
S 0.000 0.000 0.500

What should be chosen as the least stable of them? Choose version 2.

Version 1
Computed, not measured: an optimized crystal structure of CsBe3Pt at the PBE-GGA level of DFT.

Cell lengths 4.613, 4.613, 4.613 Å; angles 90.00, 90.00, 90.00 degrees
Space group Pm-3m (No. 221)
Symmetry-distinct sites (fractional):
Cs 0.000 0.000 0.000
Be 0.000 0.500 0.500
Pt 0.500 0.500 0.500

Version 2
Computed, not measured: an optimized crystal structure of CsBe3Pt at the PBE-GGA level of DFT.

Cell lengths 4.753, 4.753, 4.753 Å; angles 90.00, 90.00, 90.00 degrees
Space group Pm-3m (No. 221)
Symmetry-distinct sites (fractional):
Cs 0.000 0.000 0.000
Be 0.000 0.000 0.500
Pt 0.500 0.500 0.500

What should be chosen as the least stable of them? Choose version 2.

Version 1
Computed, not measured: an optimized crystal structure of CsBePt3 at the PBE-GGA level of DFT.

Cell lengths 4.567, 4.567, 4.567 Å; angles 90.00, 90.00, 90.00 degrees
Space group Pm-3m (No. 221)
Symmetry-distinct sites (fractional):
Cs 0.000 0.000 0.000
Be 0.500 0.500 0.500
Pt 0.000 0.500 0.500

Version 2
Computed, not measured: an optimized crystal structure of CsBePt3 at the PBE-GGA level of DFT.

Cell lengths 5.234, 5.234, 5.234 Å; angles 90.00, 90.00, 90.00 degrees
Space group Pm-3m (No. 221)
Symmetry-distinct sites (fractional):
Cs 0.000 0.000 0.000
Be 0.500 0.500 0.500
Pt 0.000 0.000 0.500

What should be chosen as the least stable of them? Choose version 2.

Version 1
Computed, not measured: an optimized crystal structure of Cs2RbBe at the PBE-GGA level of DFT.

Cell lengths 10.089, 10.089, 10.089 Å; angles 90.00, 90.00, 90.00 degrees
Space group Fm-3m (No. 225)
Symmetry-distinct sites (fractional):
Cs 0.250 0.250 0.250
Rb 0.000 0.000 0.000
Be 0.000 0.000 0.500

Version 2
Computed, not measured: an optimized crystal structure of Cs2RbBe at the PBE-GGA level of DFT.

Cell lengths 12.936, 12.936, 7.359 Å; angles 90.00, 90.00, 90.00 degrees
Space group I-42d (No. 122)
Symmetry-distinct sites (fractional):
Cs 0.123 0.250 0.125
Rb 0.000 0.000 0.500
Be 0.000 0.000 0.000

What should be chosen as the least stable of them? Choose version 1.

Version 1
Computed, not measured: an optimized crystal structure of Cs3RbBe at the PBE-GGA level of DFT.

Cell lengths 8.821, 8.821, 8.821 Å; angles 90.00, 90.00, 90.00 degrees
Space group Pm-3m (No. 221)
Symmetry-distinct sites (fractional):
Cs 0.000 0.000 0.500
Rb 0.000 0.000 0.000
Be 0.500 0.500 0.500

Version 2
Computed, not measured: an optimized crystal structure of Cs3RbBe at the PBE-GGA level of DFT.

Cell lengths 7.470, 7.470, 7.470 Å; angles 90.00, 90.00, 90.00 degrees
Space group Pm-3m (No. 221)
Symmetry-distinct sites (fractional):
Cs 0.000 0.000 0.500
Rb 0.500 0.500 0.500
Be 0.000 0.000 0.000

What should be chosen as the least stable of them? Choose version 1.